{
  "formula": "PrNi4Pd",
  "functional": "GGA-PBE",
  "state": "optimized geometry",
  "space_group": "F-43m",
  "e_tot_ev_per_fu": -34.5,
  "formation_energy_ev_per_fu": -1.39,
  "m_tot_mub_per_cell": 0.8,
  "lattice": [[0.0000, 3.5267, 3.5267], [3.5267, 0.0000, 3.5267], [3.5267, 3.5267, 0.0000]],
  "species": ["Pr", "Ni", "Ni", "Ni", "Ni", "Pd"],
  "frac_coords": [[0.0000, 0.0000, 0.0000], [0.3759, 0.3759, 0.3759], [0.3759, 0.3759, 0.8724], [0.3759, 0.8724, 0.3759], [0.8724, 0.3759, 0.3759], [0.7500, 0.7500, 0.7500]]
}